RbScFeO4 | GGA+U | optimized geometry

Values from the calculation:
Size of the total moment ... 8.00 Bohr magnetons per cell
DFT total energy ... -6.652 eV/atom
DOS at the Fermi energy ... 0.45 states/eV per cell

Cell lengths 5.597, 5.811, 7.207 Å; angles 90.00, 102.03, 90.00 degrees
Space group P2_1/m (No. 11)
Symmetry-distinct sites (fractional):
Rb 0.159 0.250 0.093 [2 per cell]
Sc 0.150 0.750 0.471 [2 per cell]
Fe 0.385 0.250 0.661 [2 per cell]
O 0.147 0.020 0.667 [4 per cell]
O 0.302 0.750 0.217 [2 per cell]
O 0.465 0.250 0.438 [2 per cell]